Ba3Li2UO6 | PBE | optimized geometry

Cell and atoms, written as POSCAR:
```
Ba3Li2UO6
1.0
-3.992 -1.261 4.396
0.016 -3.270 -5.114
4.694 -4.586 2.948
O Ba Li U
6 3 2 1
Direct
0.836 0.672 0.677
0.164 0.328 0.323
0.164 0.836 0.323
0.328 0.164 0.677
0.836 0.164 0.677
0.672 0.836 0.323
0.667 0.333 0.358
0.000 0.000 0.000
0.333 0.667 0.642
0.333 0.667 0.223
0.667 0.333 0.777
0.000 0.000 0.500
```

E_tot in eV per cell: -81.35
N(E_F) in states/eV/atom: 0.494
ΔE_f (raw) in eV/atom: -2.559
Density in Mg/m³: 5.50